(1)
Material: TaMo2Se
Method: DFT, GGA-PBE
State: optimized geometry

a = 2.9303 Å, b = 2.9303 Å, c = 8.6017 Å
α = 90.00°, β = 90.00°, γ = 112.10°
Sites, in units of the cell vectors:
Se (0.0000, 0.0000, 0.5050)
Mo (0.5000, 0.5000, 0.2400)
Mo (0.0000, 0.0000, 0.0051)
Ta (0.5000, 0.5000, 0.7498)

Properties
Total moment = 0.000 μB per atom
N(E_F) = 0.880 states/eV per atom
Space-group type = Cmm2, No. 35
ΔE_f (raw) = 0.203 eV per atom

(2)
Material: YInCu10
Method: DFT, GGA-PBE
State: optimized geometry

a = 4.1016 Å, b = 4.9804 Å, c = 8.6501 Å
α = 90.00°, β = 90.00°, γ = 90.00°
Sites, in units of the cell vectors:
Cu (0.0000, 0.5000, 0.1768)
Cu (0.5000, 0.5000, 0.0000)
Cu (0.5000, 0.2468, 0.7517)
Cu (0.0000, 0.0000, 0.3417)
Cu (0.5000, 0.2468, 0.2483)
Cu (0.0000, 0.5000, 0.8232)
Cu (0.5000, 0.7532, 0.7517)
Cu (0.5000, 0.0000, 0.5000)
Cu (0.0000, 0.0000, 0.6583)
Cu (0.5000, 0.7532, 0.2483)
Y (0.0000, 0.0000, 0.0000)
In (0.0000, 0.5000, 0.5000)

Properties
Total moment = 0.000 μB per atom
N(E_F) = 0.306 states/eV per atom
Space-group type = Pmmm, No. 47
E_form = -0.073 eV per atom